A geometry-optimized Co5H12Ru3 structure, computed with PBE-GGA.

Summary:
Final energy ... -4.96 eV per atom
Fermi-level density of states ... 0.8331 states/eV/atom

Structure (CIF):
```
data_Co5H12Ru3
_cell_length_a 10.282
_cell_length_b 10.282
_cell_length_c 10.282
_cell_angle_alpha 90.00
_cell_angle_beta 90.00
_cell_angle_gamma 90.00
_symmetry_space_group_name_H-M 'I a -3 d'
_symmetry_Int_Tables_number 230
_symmetry_space_group_name_Hall '-I 4bd 2c 3'
loop_
_atom_site_label
_atom_site_fract_x
_atom_site_fract_y
_atom_site_fract_z
Co1 0.000 0.000 0.000
Co2 0.000 0.250 0.375
H1 0.017 0.068 0.650
Ru1 0.000 0.250 0.125
```

***

A geometry-optimized La2DyYTm5 structure, computed with PBE-GGA.

Summary:
Fermi-level density of states ... 1.3773 states/eV/atom
Energy of formation ... 261 meV/atom

Structure (CIF):
```
data_La2DyYTm5
_cell_length_a 8.568
_cell_length_b 8.568
_cell_length_c 15.740
_cell_angle_alpha 90.00
_cell_angle_beta 90.00
_cell_angle_gamma 90.00
_symmetry_space_group_name_H-M 'I 4/m c m'
_symmetry_Int_Tables_number 140
_symmetry_space_group_name_Hall '-I 4 2c'
loop_
_atom_site_label
_atom_site_fract_x
_atom_site_fract_y
_atom_site_fract_z
La1 0.118 0.382 0.000
Dy1 0.000 0.000 0.250
Y1 0.000 0.500 0.250
Tm1 0.000 0.000 0.000
Tm2 0.217 0.283 0.357
```

***

A geometry-optimized LaNd2Hg8 structure, computed with PBE-GGA.

Summary:
Fermi-level density of states ... 0.5586 states/eV/atom
Energy of formation ... -363 meV/atom

Structure (CIF):
```
data_LaNd2Hg8
_cell_length_a 5.293
_cell_length_b 7.325
_cell_length_c 15.295
_cell_angle_alpha 90.00
_cell_angle_beta 90.00
_cell_angle_gamma 90.00
_symmetry_space_group_name_H-M 'I m m m'
_symmetry_Int_Tables_number 71
_symmetry_space_group_name_Hall '-I 2 2'
loop_
_atom_site_label
_atom_site_fract_x
_atom_site_fract_y
_atom_site_fract_z
La1 0.000 0.000 0.000
Nd1 0.000 0.000 0.313
Hg1 0.000 0.211 0.500
Hg2 0.000 0.284 0.153
Hg3 0.000 0.500 0.342
```

***

A geometry-optimized RbErMnTe3 structure, computed with PBE-GGA.

Summary:
Fermi-level density of states ... 0.0819 states/eV/atom
Formation energy (no corrections) ... -0.961 eV/atom

Structure (CIF):
```
data_RbErMnTe3
_cell_length_a 9.936
_cell_length_b 4.471
_cell_length_c 10.685
_cell_angle_alpha 90.00
_cell_angle_beta 110.14
_cell_angle_gamma 90.00
_symmetry_space_group_name_H-M 'P 1 21/m 1'
_symmetry_Int_Tables_number 11
loop_
_symmetry_equiv_pos_as_xyz
'x,y,z'
'-x,-y,-z'
'-x,y+1/2,-z'
'x,-y+1/2,z'
loop_
_atom_site_label
_atom_site_fract_x
_atom_site_fract_y
_atom_site_fract_z
Rb1 0.211 0.250 0.242
Er1 0.332 0.750 0.861
Mn1 0.084 0.250 0.607
Te1 0.116 0.250 0.865
Te2 0.211 0.750 0.542
Te3 0.468 0.750 0.163
```

***

A geometry-optimized AlMo2Rh structure, computed with PBE-GGA.

Summary:
Fermi-level density of states ... 0.8547 states/eV/atom
Energy of formation ... -175 meV/atom

Structure (CIF):
```
data_AlMo2Rh
_cell_length_a 3.285
_cell_length_b 4.417
_cell_length_c 8.389
_cell_angle_alpha 90.00
_cell_angle_beta 90.00
_cell_angle_gamma 90.00
_symmetry_space_group_name_H-M 'I m m 2'
_symmetry_Int_Tables_number 44
loop_
_symmetry_equiv_pos_as_xyz
'x,y,z'
'-x,-y,z'
'-x,y,z'
'x,-y,z'
'x+1/2,y+1/2,z+1/2'
'-x+1/2,-y+1/2,z+1/2'
'-x+1/2,y+1/2,z+1/2'
'x+1/2,-y+1/2,z+1/2'
loop_
_atom_site_label
_atom_site_fract_x
_atom_site_fract_y
_atom_site_fract_z
Al1 0.000 0.000 0.000
Mo1 0.000 0.000 0.499
Mo2 0.000 0.500 0.766
Rh1 0.000 0.500 0.258
```

***

A geometry-optimized BaCa2Ta structure, computed with PBE-GGA.

Summary:
Fermi-level density of states ... 1.4105 states/eV/atom
Energy of formation ... 787 meV/atom
Distance to the lowest polymorph of the same formula ... 12.7 kJ/mol of atoms

Structure (CIF):
```
data_BaCa2Ta
_cell_length_a 11.912
_cell_length_b 3.451
_cell_length_c 6.520
_cell_angle_alpha 90.00
_cell_angle_beta 100.01
_cell_angle_gamma 90.00
_symmetry_space_group_name_H-M 'C 1 2/m 1'
_symmetry_Int_Tables_number 12
loop_
_symmetry_equiv_pos_as_xyz
'x,y,z'
'-x,-y,-z'
'-x,y,-z'
'x,-y,z'
'x+1/2,y+1/2,z'
'-x+1/2,-y+1/2,-z'
'-x+1/2,y+1/2,-z'
'x+1/2,-y+1/2,z'
loop_
_atom_site_label
_atom_site_fract_x
_atom_site_fract_y
_atom_site_fract_z
Ba1 0.000 0.000 0.000
Ca1 0.229 0.000 0.716
Ta1 0.000 0.500 0.500
```

***

Fermi-level density of states of number 6 (BaCa2Ta)?
1.4105 states/eV/atom